(1)
PBE Ce5ZnHgOs2, optimized geometry; space-group type = No. 140
1.0
7.7970 0.0000 0.0000
0.0000 7.7970 0.0000
-3.8985 -3.8985 7.3777
Ce Zn Hg Os
10 2 2 4
Direct
0.9169 0.4169 0.2492
0.6677 0.1677 0.7508
0.0831 0.5831 0.7508
0.1677 0.0831 0.7508
0.5831 0.6677 0.7508
0.8323 0.9169 0.2492
0.4169 0.3323 0.2492
0.3323 0.8323 0.2492
0.5000 0.5000 0.0000
0.0000 0.0000 0.0000
0.2500 0.7500 0.5000
0.7500 0.2500 0.5000
0.2500 0.2500 0.5000
0.7500 0.7500 0.5000
0.1190 0.3810 0.0000
0.6190 0.1190 0.0000
0.3810 0.8810 0.0000
0.8810 0.6190 0.0000

(2)
PBE Ce3HgP2Rh9, optimized geometry; space-group type = No. 164
1.0
-0.4341 5.4843 -4.5319
-4.5490 -0.4744 5.4667
4.1819 3.4542 3.7796
Ce Hg P Rh
3 1 2 9
Direct
0.3333 0.6667 0.6770
0.0000 0.0000 0.0000
0.6667 0.3333 0.3230
0.0000 0.0000 0.5000
0.3333 0.6667 0.1329
0.6667 0.3333 0.8671
0.8017 0.1983 0.6388
0.8017 0.6034 0.6388
0.3966 0.1983 0.6388
0.6034 0.8017 0.3612
0.1983 0.3966 0.3612
0.1983 0.8017 0.3612
0.5000 0.0000 0.0000
0.0000 0.5000 0.0000
0.5000 0.5000 0.0000

| no. | DFT formation energy (eV/atom) |
| --- | --- |
| 1 | -0.153 |
| 2 | -0.458 |